w:
Material: Tl2ReNi
Method: DFT, PBE-GGA
State: optimized geometry

- DOS(E_F) (states/eV/cell) = 7.3
- crystal system = orthorhombic
- space group = Cmmm
- spin magnetization (Bohr magnetons per cell) = 0.0

Lattice parameters (Å, degrees): 3.1922 5.1337 8.9991 90.00 90.00 90.00
Sites, in units of the cell vectors:
Tl  0.0000  0.0000  0.2336
Tl  0.0000  0.0000  0.7664
Tl  0.5000  0.5000  0.2336
Tl  0.5000  0.5000  0.7664
Re  0.0000  0.5000  0.5000
Re  0.5000  0.0000  0.5000
Ni  0.0000  0.5000  0.0000
Ni  0.5000  0.0000  0.0000

---

x:
Material: Tl2ReNi
Method: DFT, PBE-GGA
State: optimized geometry

- DOS(E_F) (states/eV/cell) = 11.4
- crystal system = cubic
- space group = F-43m
- spin magnetization (Bohr magnetons per cell) = 11.4

Lattice parameters (Å, degrees): 6.7721 6.7721 6.7721 90.00 90.00 90.00
Sites, in units of the cell vectors:
Tl  0.0000  0.0000  0.0000
Tl  0.0000  0.5000  0.5000
Tl  0.2500  0.2500  0.2500
Tl  0.2500  0.7500  0.7500
Tl  0.5000  0.0000  0.5000
Tl  0.5000  0.5000  0.0000
Tl  0.7500  0.2500  0.7500
Tl  0.7500  0.7500  0.2500
Re  0.0000  0.0000  0.5000
Re  0.0000  0.5000  0.0000
Re  0.5000  0.0000  0.0000
Re  0.5000  0.5000  0.5000
Ni  0.2500  0.2500  0.7500
Ni  0.2500  0.7500  0.2500
Ni  0.7500  0.2500  0.2500
Ni  0.7500  0.7500  0.7500

---

y:
Material: Tl2ReNi
Method: DFT, PBE-GGA
State: optimized geometry

- DOS(E_F) (states/eV/cell) = 13.0
- crystal system = cubic
- space group = Fm-3m
- spin magnetization (Bohr magnetons per cell) = 0.0

Lattice parameters (Å, degrees): 6.6177 6.6177 6.6177 90.00 90.00 90.00
Sites, in units of the cell vectors:
Tl  0.2500  0.2500  0.2500
Tl  0.2500  0.2500  0.7500
Tl  0.2500  0.7500  0.2500
Tl  0.2500  0.7500  0.7500
Tl  0.7500  0.2500  0.2500
Tl  0.7500  0.2500  0.7500
Tl  0.7500  0.7500  0.2500
Tl  0.7500  0.7500  0.7500
Re  0.0000  0.0000  0.0000
Re  0.0000  0.5000  0.5000
Re  0.5000  0.0000  0.5000
Re  0.5000  0.5000  0.0000
Ni  0.0000  0.0000  0.5000
Ni  0.0000  0.5000  0.0000
Ni  0.5000  0.0000  0.0000
Ni  0.5000  0.5000  0.5000

---

z:
Material: Tl2ReNi
Method: DFT, PBE-GGA
State: optimized geometry

- DOS(E_F) (states/eV/cell) = 6.1
- crystal system = monoclinic
- space group = C2/m
- spin magnetization (Bohr magnetons per cell) = 0.0

Lattice parameters (Å, degrees): 6.2136 9.2099 2.9576 90.00 117.50 90.00
Sites, in units of the cell vectors:
Tl  0.2500  0.2500  0.0000
Tl  0.2500  0.7500  0.0000
Tl  0.7500  0.2500  0.0000
Tl  0.7500  0.7500  0.0000
Re  0.0000  0.0000  0.5000
Re  0.5000  0.5000  0.5000
Ni  0.0000  0.5000  0.5000
Ni  0.5000  0.0000  0.5000

---

Relative stability in meV/atom, measured from the most stable structure: w 0; x 317; y 106; z 63